1.
## Mn3PbO6 (GGA+U)

Data for a relaxed structure of Mn3PbO6.

Cell lengths 5.3485, 5.5438, 9.5036 Å; angles 90.00, 124.16, 90.00 degrees
Space group P2_1/c (No. 14)
Symmetry-distinct sites (fractional):
Mn 0.0000 0.0000 0.0000 (multiplicity 2)
Mn 0.2690 0.0485 0.7599 (multiplicity 4)
Pb 0.5000 0.0000 0.5000 (multiplicity 2)
O 0.1005 0.0806 0.2310 (multiplicity 4)
O 0.2481 0.7051 0.0840 (multiplicity 4)
O 0.3649 0.1670 0.0581 (multiplicity 4)

Results
* raw total energy: -6.877 eV/atom

2.
## MnPbO (GGA+U)

Data for a relaxed structure of MnPbO.

Cell lengths 3.5326, 4.0047, 9.1066 Å; angles 90.00, 90.00, 90.00 degrees
Space group Pmmn (No. 59, origin choice 2)
Symmetry-distinct sites (fractional):
Mn 0.2500 0.2500 0.0787 (multiplicity 2)
Pb 0.2500 0.7500 0.6129 (multiplicity 2)
O 0.2500 0.7500 0.0583 (multiplicity 2)

Results
* raw total energy: -6.226 eV/atom

3.
## Mn3PbO (GGA+U)

Data for a relaxed structure of Mn3PbO.

Cell lengths 4.5088, 4.5088, 4.5088 Å; angles 90.00, 90.00, 90.00 degrees
Space group Pm-3m (No. 221)
Symmetry-distinct sites (fractional):
Mn 0.0000 0.0000 0.5000 (multiplicity 3)
Pb 0.5000 0.5000 0.5000 (multiplicity 1)
O 0.0000 0.0000 0.0000 (multiplicity 1)

Results
* ΔE to the lowest computed polymorph: 0 meV per atom
* raw total energy: -6.452 eV/atom

4.
## MnPb3O6 (GGA+U)

Data for a relaxed structure of MnPb3O6.

Cell lengths 8.5942, 3.4375, 10.8365 Å; angles 90.00, 94.31, 90.00 degrees
Space group P2_1/m (No. 11)
Symmetry-distinct sites (fractional):
Mn 0.0431 0.2500 0.1298 (multiplicity 2)
Pb 0.1239 0.2500 0.6072 (multiplicity 2)
Pb 0.3189 0.7500 0.0057 (multiplicity 2)
Pb 0.4462 0.2500 0.3301 (multiplicity 2)
O 0.0936 0.7500 0.7360 (multiplicity 2)
O 0.1189 0.2500 0.9679 (multiplicity 2)
O 0.1298 0.7500 0.4739 (multiplicity 2)
O 0.1545 0.7500 0.1730 (multiplicity 2)
O 0.3798 0.2500 0.6353 (multiplicity 2)
O 0.4596 0.2500 0.1171 (multiplicity 2)

Results
* raw total energy: -5.859 eV/atom

5.
## Mn8PbO16 (GGA+U)

Data for a relaxed structure of Mn8PbO16.

Cell lengths 5.9597, 7.0999, 7.2702 Å; angles 89.92, 77.59, 78.15 degrees
Space group P1 (No. 1)
Symmetry-distinct sites (fractional):
Mn 0.0000 0.0000 0.0000 (multiplicity 1)
Mn 0.0814 0.3088 0.3485 (multiplicity 1)
Mn 0.2551 0.6767 0.2964 (multiplicity 1)
Mn 0.3421 0.9919 0.6350 (multiplicity 1)
Mn 0.5016 0.9995 0.9997 (multiplicity 1)
Mn 0.5831 0.3092 0.3317 (multiplicity 1)
Mn 0.7544 0.6756 0.2915 (multiplicity 1)
Mn 0.8442 0.9761 0.6327 (multiplicity 1)
Pb 0.4208 0.5330 0.7660 (multiplicity 1)
O 0.0733 0.5278 0.1804 (multiplicity 1)
O 0.0802 0.1294 0.5439 (multiplicity 1)
O 0.1247 0.8382 0.7620 (multiplicity 1)
O 0.2502 0.1361 0.8774 (multiplicity 1)
O 0.2621 0.8533 0.0943 (multiplicity 1)
O 0.2784 0.4651 0.4666 (multiplicity 1)
O 0.4032 0.1852 0.2041 (multiplicity 1)
O 0.4420 0.8009 0.4258 (multiplicity 1)
O 0.5671 0.1430 0.5391 (multiplicity 1)
O 0.5698 0.5347 0.1691 (multiplicity 1)
O 0.5871 0.8451 0.7539 (multiplicity 1)
O 0.7453 0.4642 0.4641 (multiplicity 1)
O 0.7505 0.1253 0.8751 (multiplicity 1)
O 0.7650 0.8498 0.0887 (multiplicity 1)
O 0.8929 0.1832 0.2075 (multiplicity 1)
O 0.9409 0.7973 0.4202 (multiplicity 1)

Results
* raw total energy: -7.116 eV/atom

6.
## Mn2Pb2O5 (GGA+U)

Data for a relaxed structure of Mn2Pb2O5.

Cell lengths 14.1225, 8.0719, 5.6099 Å; angles 90.00, 90.00, 90.00 degrees
Space group Cmce (No. 64)
Symmetry-distinct sites (fractional):
Mn 0.0000 0.2355 0.0280 (multiplicity 8)
Pb 0.1559 0.0000 0.5000 (multiplicity 8)
O 0.0000 0.0000 0.5000 (multiplicity 4)
O 0.0963 0.2397 0.7764 (multiplicity 16)

Results
* ΔE to the lowest computed polymorph: 105 meV per atom
* raw total energy: -6.462 eV/atom

7.
## MnPb2O2 (GGA+U)

Data for a relaxed structure of MnPb2O2.

Cell lengths 4.0429, 4.0429, 13.9158 Å; angles 90.00, 90.00, 90.00 degrees
Space group I4/mmm (No. 139)
Symmetry-distinct sites (fractional):
Mn 0.0000 0.0000 0.0000 (multiplicity 2)
Pb 0.0000 0.0000 0.3369 (multiplicity 4)
O 0.0000 0.5000 0.2500 (multiplicity 4)

Results
* ΔE to the lowest computed polymorph: 0 meV per atom
* raw total energy: -5.429 eV/atom

8.
## Mn2Pb2O5 (GGA+U)

Data for a relaxed structure of Mn2Pb2O5.

Cell lengths 5.9257, 3.8376, 22.1886 Å; angles 90.00, 90.00, 90.00 degrees
Space group Pnma (No. 62)
Symmetry-distinct sites (fractional):
Mn 0.0661 0.2500 0.0503 (multiplicity 4)
Mn 0.1073 0.2500 0.3143 (multiplicity 4)
Pb 0.0713 0.7500 0.4290 (multiplicity 4)
Pb 0.1502 0.7500 0.1893 (multiplicity 4)
O 0.0603 0.7500 0.3239 (multiplicity 4)
O 0.1079 0.7500 0.0271 (multiplicity 4)
O 0.1535 0.7500 0.7430 (multiplicity 4)
O 0.1949 0.7500 0.6069 (multiplicity 4)
O 0.2019 0.7500 0.8881 (multiplicity 4)

Results
* ΔE to the lowest computed polymorph: 0 meV per atom
* raw total energy: -6.567 eV/atom

9.
## Mn7PbO12 (GGA+U)

Data for a relaxed structure of Mn7PbO12.

Cell lengths 7.5637, 7.5637, 7.5637 Å; angles 90.00, 90.00, 90.00 degrees
Space group Im-3 (No. 204)
Symmetry-distinct sites (fractional):
Mn 0.0000 0.0000 0.5000 (multiplicity 6)
Mn 0.2500 0.2500 0.2500 (multiplicity 8)
Pb 0.0000 0.0000 0.0000 (multiplicity 2)
O 0.0000 0.1815 0.3138 (multiplicity 24)

Results
* raw total energy: -7.271 eV/atom